Computed, not measured: a geometry-optimized ZrTeAu3 structure at the GGA-PBE level of DFT.

polymorph energy (0 for the lowest one): 51 meV/atom
space-group type: Pm-3m
total energy: -3.538 eV per atom
formation energy without anion corrections: 0.77 eV per atom

```
ZrTeAu3
1.0
-3.130 4.059 -0.486
-2.520 -2.398 -3.796
-3.219 -2.070 3.444
Au Te Zr
3 1 1
Direct
0.000 0.500 0.000
0.500 0.000 0.000
0.000 0.000 0.500
0.000 0.000 0.000
0.500 0.500 0.500
```